Below is a relaxed PuTh2Ge3 crystal, with properties calculated at the PBE level.

```
PuTh2Ge3
1.0
-2.1360 3.0132 6.3657
2.1360 -3.0132 6.3657
2.1360 3.0132 -6.3657
Pu Th Ge
1 2 3
Direct
0.0000 0.0000 0.0000 Pu
0.3319 0.3319 0.0000 Th
0.6681 0.6681 0.0000 Th
0.1603 0.6603 0.5000 Ge
0.5000 0.0000 0.5000 Ge
0.8397 0.3397 0.5000 Ge
```

Summary:
raw total energy	-46.38	eV per cell
symmetry	No. 71
D(E_F)	2.35	states/eV/atom
formation energy	-0.559	eV per atom


Below is a relaxed PuTh5Ge5 crystal, with properties calculated at the PBE level.

```
PuTh5Ge5
1.0
6.7023 -3.0017 0.0000
6.7023 3.0017 0.0000
-2.6775 0.0000 8.0151
Pu Th Ge
1 5 5
Direct
0.0000 0.0000 0.0000 Pu
0.0000 0.0000 0.5000 Th
0.3324 0.3324 0.6665 Th
0.3345 0.3345 0.1679 Th
0.6655 0.6655 0.8321 Th
0.6676 0.6676 0.3335 Th
0.1642 0.1642 0.3304 Ge
0.1653 0.1653 0.8342 Ge
0.5000 0.5000 0.0000 Ge
0.8347 0.8347 0.1658 Ge
0.8358 0.8358 0.6696 Ge
```

Summary:
raw total energy	-80.13	eV per cell
symmetry	No. 12
D(E_F)	1.56	states/eV/atom
formation energy	-0.510	eV per atom


Below is a relaxed PuThGe4 crystal, with properties calculated at the PBE level.

```
PuThGe4
1.0
0.0000 3.9695 3.9695
3.9695 0.0000 3.9695
3.9695 3.9695 0.0000
Pu Th Ge
1 1 4
Direct
0.0000 0.0000 0.0000 Pu
0.7500 0.7500 0.7500 Th
0.3741 0.3741 0.3741 Ge
0.3741 0.3741 0.8777 Ge
0.3741 0.8777 0.3741 Ge
0.8777 0.3741 0.3741 Ge
```

Summary:
raw total energy	-42.11	eV per cell
symmetry	No. 216
D(E_F)	0.89	states/eV/atom
formation energy	-0.315	eV per atom


Below is a relaxed PuThGe2 crystal, with properties calculated at the PBE level.

```
PuThGe2
1.0
2.1319 1.2308 6.8148
-2.1319 1.2308 6.8148
0.0000 -2.4617 6.8148
Pu Th Ge
1 1 2
Direct
0.0000 0.0000 0.0000 Pu
0.5000 0.5000 0.5000 Th
0.2543 0.2543 0.2543 Ge
0.7457 0.7457 0.7457 Ge
```

Summary:
raw total energy	-32.81	eV per cell
symmetry	No. 166
D(E_F)	3.39	states/eV/atom
formation energy	-0.455	eV per atom


Below is a relaxed Pu4ThGe2 crystal, with properties calculated at the PBE level.

```
Pu4ThGe2
1.0
9.4828 0.0000 0.0000
0.0000 9.4828 0.0000
0.0000 0.0000 4.0501
Pu Th Ge
8 2 4
Direct
0.0971 0.3330 0.0000 Pu
0.1670 0.5971 0.5000 Pu
0.3330 0.0971 0.0000 Pu
0.4029 0.8330 0.5000 Pu
0.5971 0.1670 0.5000 Pu
0.6670 0.9029 0.0000 Pu
0.8330 0.4029 0.5000 Pu
0.9029 0.6670 0.0000 Pu
0.0000 0.0000 0.5000 Th
0.5000 0.5000 0.0000 Th
0.1712 0.8288 0.0000 Ge
0.3288 0.3288 0.5000 Ge
0.6712 0.6712 0.5000 Ge
0.8288 0.1712 0.0000 Ge
```

Summary:
raw total energy	-150.82	eV per cell
symmetry	No. 136
D(E_F)	3.75	states/eV/atom
formation energy	-0.204	eV per atom


Below is a relaxed Pu3Th2Ge4 crystal, with properties calculated at the PBE level.

```
Pu3Th2Ge4
1.0
7.9129 0.0000 0.0000
0.0000 7.8204 0.0000
-2.8500 0.0000 7.1914
Pu Th Ge
6 4 8
Direct
0.0000 0.0000 0.0000 Pu
0.0000 0.5000 0.5000 Pu
0.2570 0.1671 0.7866 Pu
0.2570 0.3329 0.2866 Pu
0.7430 0.6671 0.7134 Pu
0.7430 0.8329 0.2134 Pu
0.3073 0.6870 0.9391 Th
0.3073 0.8130 0.4391 Th
0.6927 0.1870 0.5609 Th
0.6927 0.3130 0.0609 Th
0.0035 0.6219 0.1173 Ge
0.0035 0.8781 0.6173 Ge
0.4226 0.0383 0.1817 Ge
0.4226 0.4617 0.6817 Ge
0.5774 0.5383 0.3183 Ge
0.5774 0.9617 0.8183 Ge
0.9965 0.1219 0.3827 Ge
0.9965 0.3781 0.8827 Ge
```

Summary:
raw total energy	-162.78	eV per cell
symmetry	No. 14
D(E_F)	2.24	states/eV/atom
formation energy	-0.565	eV per atom